First-principles (PBE-GGA) data for a geometry-optimized CdPbCl4 structure, as listed in Alexandria.

Calculated values
For the energy relative to the elements, uncorrected, the calculation gives -1099 meV/atom. The energy above the most stable polymorph in this dataset comes out at 0 meV/atom. As for the total magnetic moment: 0.00 μB per cell.

Unit cell a=7.5718 b=6.6846 c=7.5665 alpha=90.00 beta=112.02 gamma=90.00
Fractional coordinates of all 12 atoms:
Cd: 0.0000 0.0000 0.0000
Cd: 0.0000 0.5000 0.5000
Pb: 0.5000 0.0000 0.5000
Pb: 0.5000 0.5000 0.0000
Cl: 0.1209 0.1829 0.3394
Cl: 0.1209 0.3171 0.8394
Cl: 0.3476 0.6431 0.6102
Cl: 0.3476 0.8569 0.1102
Cl: 0.6524 0.1431 0.8898
Cl: 0.6524 0.3569 0.3898
Cl: 0.8791 0.6829 0.1606
Cl: 0.8791 0.8171 0.6606